Record 1
A relaxed LiLuFeMo crystal. Source: the Open Quantum Materials Database, functional PBE.

E above lowest polymorph	0	meV/atom
E_tot	-6.130	eV per atom
space-group type	No. 216

CIF file:
```
data_LiLuFeMo
_chemical_formula_sum 'Li1 Lu1 Fe1 Mo1'
_symmetry_space_group_name_H-M 'P 1'
_symmetry_Int_Tables_number 1
_symmetry_space_group_name_Hall 'P 1'
_cell_length_a 4.4311
_cell_length_b 4.4311
_cell_length_c 4.4311
_cell_angle_alpha 60.00
_cell_angle_beta 60.00
_cell_angle_gamma 60.00
loop_
_atom_site_label
_atom_site_type_symbol
_atom_site_fract_x
_atom_site_fract_y
_atom_site_fract_z
Li1 Li 0.0000 0.0000 0.0000
Lu1 Lu 0.2500 0.2500 0.2500
Fe1 Fe 0.5000 0.5000 0.5000
Mo1 Mo 0.7500 0.7500 0.7500
```

***

Record 2
A relaxed NiAu2 crystal. Source: the Open Quantum Materials Database, functional PBE.

E_tot	-2.749	eV per atom
space-group type	No. 227
ΔH_f (0 K)	1.28	eV per atom

CIF file:
```
data_NiAu2
_chemical_formula_sum 'Ni2 Au4'
_symmetry_space_group_name_H-M 'P 1'
_symmetry_Int_Tables_number 1
_symmetry_space_group_name_Hall 'P 1'
_cell_length_a 7.7329
_cell_length_b 7.7329
_cell_length_c 7.7329
_cell_angle_alpha 60.00
_cell_angle_beta 60.00
_cell_angle_gamma 60.00
loop_
_atom_site_label
_atom_site_type_symbol
_atom_site_fract_x
_atom_site_fract_y
_atom_site_fract_z
Ni1 Ni 0.1250 0.1250 0.1250
Ni2 Ni 0.8750 0.8750 0.8750
Au1 Au 0.0000 0.0000 0.0000
Au2 Au 0.0000 0.0000 0.5000
Au3 Au 0.0000 0.5000 0.0000
Au4 Au 0.5000 0.0000 0.0000
```